[1]
# Ca3Ac3Pr | Alexandria via LeMat-Bulk | PBE-GGA | relaxed
data_Ca3Ac3Pr
_symmetry_space_group_name_H-M 'P 63/m'
_symmetry_Int_Tables_number 176
_symmetry_space_group_name_Hall '-P 6c'
_cell_length_a 10.4582
_cell_length_b 10.4582
_cell_length_c 6.2504
_cell_angle_alpha 90.00
_cell_angle_beta 90.00
_cell_angle_gamma 120.00
loop_
_atom_site_label
_atom_site_type_symbol
_atom_site_fract_x
_atom_site_fract_y
_atom_site_fract_z
_atom_site_occupancy
Ca1 Ca 0.0546 0.2437 0.2500 1
Ac1 Ac 0.1006 0.4822 0.7500 1
Pr1 Pr 0.3333 0.6667 0.2500 1
# Relative energy among the computed polymorphs: 0.000 eV per atom
# Calculated volume: 296.02 Å³/f.u.
# Formation enthalpy at 0 K: 0.028 eV/atom

---

[2]
# CaAc15Pr4 | Alexandria via LeMat-Bulk | PBE-GGA | relaxed
data_CaAc15Pr4
_symmetry_space_group_name_H-M 'P 4/m m m'
_symmetry_Int_Tables_number 123
_symmetry_space_group_name_Hall '-P 4 2'
_cell_length_a 5.5761
_cell_length_b 5.5761
_cell_length_c 27.6830
_cell_angle_alpha 90.00
_cell_angle_beta 90.00
_cell_angle_gamma 90.00
loop_
_atom_site_label
_atom_site_type_symbol
_atom_site_fract_x
_atom_site_fract_y
_atom_site_fract_z
_atom_site_occupancy
Ca1 Ca 0.0000 0.0000 0.0000 1
Ac1 Ac 0.0000 0.5000 0.1021 1
Ac2 Ac 0.0000 0.5000 0.3001 1
Ac3 Ac 0.0000 0.5000 0.5000 1
Ac4 Ac 0.5000 0.5000 0.0000 1
Ac5 Ac 0.5000 0.5000 0.2004 1
Ac6 Ac 0.5000 0.5000 0.3998 1
Pr1 Pr 0.0000 0.0000 0.1998 1
Pr2 Pr 0.0000 0.0000 0.4002 1
# Calculated volume: 860.76 Å³/f.u.
# Formation enthalpy at 0 K: 0.019 eV/atom